No. 1
First-principles (GGA-PBE) data for a relaxed LiCdSi2B crystal, as listed in Alexandria via LeMat-Bulk.

Raw formation energy = 1661.4 meV/atom

Cell and atoms, written as CIF:
```
data_LiCdSi2B
_cell_length_a 4.935
_cell_length_b 4.935
_cell_length_c 4.808
_cell_angle_alpha 90.00
_cell_angle_beta 90.00
_cell_angle_gamma 90.00
_symmetry_space_group_name_H-M 'P 4/m m m'
_symmetry_Int_Tables_number 123
_symmetry_space_group_name_Hall '-P 4 2'
loop_
_atom_site_label
_atom_site_fract_x
_atom_site_fract_y
_atom_site_fract_z
_atom_site_occupancy
Li1 0.000 0.000 0.000 1
Cd1 0.000 0.000 0.500 1
Si1 0.000 0.500 0.500 1
B1 0.500 0.500 0.000 1
```

=====

No. 2
First-principles (GGA-PBE) data for a relaxed ThNpTe6 crystal, as listed in Alexandria via LeMat-Bulk.

Raw formation energy = -737.8 meV/atom

Cell and atoms, written as CIF:
```
data_ThNpTe6
_cell_length_a 4.437
_cell_length_b 4.436
_cell_length_c 26.306
_cell_angle_alpha 90.00
_cell_angle_beta 90.00
_cell_angle_gamma 90.00
_symmetry_space_group_name_H-M 'A m m 2'
_symmetry_Int_Tables_number 38
_symmetry_space_group_name_Hall 'A 2 -2'
loop_
_atom_site_label
_atom_site_fract_x
_atom_site_fract_y
_atom_site_fract_z
_atom_site_occupancy
Th1 0.000 0.000 0.000 1
Np1 0.500 0.000 0.662 1
Te1 0.000 0.000 0.125 1
Te2 0.000 0.000 0.408 1
Te3 0.000 0.000 0.751 1
Te4 0.500 0.000 0.250 1
Te5 0.500 0.000 0.537 1
Te6 0.500 0.000 0.908 1
```

=====

No. 3
First-principles (GGA-PBE) data for a relaxed ScRh2Se crystal, as listed in Alexandria via LeMat-Bulk.

E above lowest polymorph = 0.1527 eV per atom
Raw formation energy = -489.9 meV/atom

Cell and atoms, written as CIF:
```
data_ScRh2Se
_cell_length_a 3.997
_cell_length_b 3.997
_cell_length_c 17.437
_cell_angle_alpha 90.00
_cell_angle_beta 90.00
_cell_angle_gamma 90.00
_symmetry_space_group_name_H-M 'I -4 2 d'
_symmetry_Int_Tables_number 122
_symmetry_space_group_name_Hall 'I -4 2bw'
loop_
_atom_site_label
_atom_site_fract_x
_atom_site_fract_y
_atom_site_fract_z
_atom_site_occupancy
Sc1 0.000 0.000 0.000 1
Rh1 0.232 0.250 0.625 1
Se1 0.000 0.000 0.500 1
```

=====

No. 4
First-principles (GGA-PBE) data for a relaxed Np3PH3 crystal, as listed in Alexandria via LeMat-Bulk.

Cell and atoms, written as CIF:
```
data_Np3PH3
_cell_length_a 8.0224
_cell_length_b 8.0224
_cell_length_c 3.4516
_cell_angle_alpha 90.00
_cell_angle_beta 90.00
_cell_angle_gamma 120.00
_symmetry_space_group_name_H-M 'P 63/m'
_symmetry_Int_Tables_number 176
_symmetry_space_group_name_Hall '-P 6c'
loop_
_atom_site_label
_atom_site_fract_x
_atom_site_fract_y
_atom_site_fract_z
_atom_site_occupancy
Np1 0.0438 0.6204 0.2500 1
P1 0.3333 0.6667 0.7500 1
H1 0.0918 0.8174 0.7500 1
```

=====

No. 5
First-principles (GGA-PBE) data for a relaxed CaAl2Te crystal, as listed in Alexandria via LeMat-Bulk.

Raw formation energy = -323.3 meV/atom

Cell and atoms, written as CIF:
```
data_CaAl2Te
_cell_length_a 4.6665
_cell_length_b 4.6665
_cell_length_c 17.3017
_cell_angle_alpha 90.00
_cell_angle_beta 90.00
_cell_angle_gamma 120.00
_symmetry_space_group_name_H-M 'R 3 m'
_symmetry_Int_Tables_number 160
_symmetry_space_group_name_Hall 'R 3 -2"'
loop_
_atom_site_label
_atom_site_fract_x
_atom_site_fract_y
_atom_site_fract_z
_atom_site_occupancy
Ca1 0.0000 0.0000 0.0000 1
Al1 0.0000 0.0000 0.2247 1
Al2 0.0000 0.0000 0.5752 1
Te1 0.0000 0.0000 0.7563 1
```

=====

No. 6
First-principles (GGA-PBE) data for a relaxed Rb2MnAgI5 crystal, as listed in Alexandria via LeMat-Bulk.

Raw formation energy = -856.8 meV/atom

Cell and atoms, written as CIF:
```
data_Rb2MnAgI5
_cell_length_a 4.722
_cell_length_b 21.934
_cell_length_c 15.612
_cell_angle_alpha 90.00
_cell_angle_beta 90.00
_cell_angle_gamma 90.00
_symmetry_space_group_name_H-M 'C m c 21'
_symmetry_Int_Tables_number 36
_symmetry_space_group_name_Hall 'C 2c -2'
loop_
_atom_site_label
_atom_site_fract_x
_atom_site_fract_y
_atom_site_fract_z
_atom_site_occupancy
Rb1 0.000 0.103 0.000 1
Rb2 0.000 0.147 0.648 1
Mn1 0.000 0.435 0.731 1
Ag1 0.000 0.250 0.417 1
I1 0.000 0.046 0.322 1
I2 0.000 0.306 0.970 1
I3 0.000 0.325 0.659 1
I4 0.000 0.359 0.328 1
I5 0.000 0.486 0.098 1
```

=====

No. 7
First-principles (GGA-PBE) data for a relaxed TlTeIr crystal, as listed in Alexandria via LeMat-Bulk.

E above lowest polymorph = 0.0000 eV per atom
Raw formation energy = 85.0 meV/atom

Cell and atoms, written as CIF:
```
data_TlTeIr
_cell_length_a 13.049
_cell_length_b 4.009
_cell_length_c 6.597
_cell_angle_alpha 90.00
_cell_angle_beta 115.70
_cell_angle_gamma 90.00
_symmetry_space_group_name_H-M 'C 1 2/m 1'
_symmetry_Int_Tables_number 12
_symmetry_space_group_name_Hall '-C 2y'
loop_
_atom_site_label
_atom_site_fract_x
_atom_site_fract_y
_atom_site_fract_z
_atom_site_occupancy
Tl1 0.146 0.000 0.323 1
Te1 0.100 0.500 0.782 1
Ir1 0.233 0.000 0.816 1
```

=====

No. 8
First-principles (GGA-PBE) data for a relaxed VFe5Rh6 crystal, as listed in Alexandria via LeMat-Bulk.

Energy of formation = -0.101 eV per atom

Cell and atoms, written as CIF:
```
data_VFe5Rh6
_cell_length_a 4.503
_cell_length_b 5.450
_cell_length_c 6.519
_cell_angle_alpha 90.00
_cell_angle_beta 93.78
_cell_angle_gamma 90.00
_symmetry_space_group_name_H-M 'P 1 2/m 1'
_symmetry_Int_Tables_number 10
_symmetry_space_group_name_Hall '-P 2y'
loop_
_atom_site_label
_atom_site_fract_x
_atom_site_fract_y
_atom_site_fract_z
_atom_site_occupancy
V1 0.000 0.000 0.000 1
Fe1 0.000 0.500 0.000 1
Fe2 0.337 0.000 0.664 1
Fe3 0.338 0.500 0.667 1
Rh1 0.161 0.250 0.331 1
Rh2 0.500 0.249 0.000 1
```

=====

Computed DOS(E_F) (states/eV/cell) in order:
2.82, 26.95, 16.26, 23.94, 2.83, 0.00, 8.21, 18.07
Computed energy (eV/atom) in order:
-2.41, -5.64, -6.62, -8.07, -3.48, -3.27, -4.70, -8.06